Entry 1:
{"formula": "PmThFe", "functional": "PBE-GGA", "state": "optimized geometry", "polymorph_energy_mev_per_atom": 0, "formation_energy_ev_per_atom": -0.001, "lattice_angstrom": [[4.9502, 0.0000, 0.0000], [0.0000, 8.4814, -0.6266], [0.0000, -3.9139, 7.8011]], "species": ["Fe", "Fe", "Fe", "Fe", "Pm", "Pm", "Pm", "Pm", "Th", "Th", "Th", "Th"], "frac_coords": [[0.2500, 0.1765, 0.4633], [0.7500, 0.8235, 0.0367], [0.7500, 0.8235, 0.5367], [0.2500, 0.1765, 0.9633], [0.2500, 0.4065, 0.3283], [0.7500, 0.5935, 0.6717], [0.2500, 0.4065, 0.8283], [0.7500, 0.5935, 0.1717], [0.7500, 0.0941, 0.4220], [0.7500, 0.0941, 0.9220], [0.2500, 0.9059, 0.0780], [0.2500, 0.9059, 0.5780]]}

---

Entry 2:
{"formula": "Tb2Ga9Pd3", "functional": "PBE-GGA", "state": "optimized geometry", "formation_energy_ev_per_atom": -0.611, "lattice_angstrom": [[-4.9065, -0.1291, -5.9332], [-1.7206, -3.7684, 6.4910], [-0.4862, 9.1972, 5.2237]], "species": ["Ga", "Ga", "Ga", "Ga", "Ga", "Ga", "Ga", "Ga", "Ga", "Ga", "Ga", "Ga", "Ga", "Ga", "Ga", "Ga", "Ga", "Ga", "Pd", "Pd", "Pd", "Pd", "Pd", "Pd", "Tb", "Tb", "Tb", "Tb"], "frac_coords": [[0.2193, 0.6933, 0.0778], [0.8845, 0.8585, 0.5778], [0.1155, 0.1415, 0.4222], [0.4527, 0.8082, 0.4307], [0.8743, 0.1243, 0.7500], [0.1225, 0.9781, 0.9307], [0.6692, 0.7122, 0.7512], [0.7824, 0.4746, 0.4228], [0.5390, 0.0820, 0.2512], [0.7807, 0.3067, 0.9222], [0.3308, 0.2878, 0.2488], [0.8775, 0.0219, 0.0693], [0.2176, 0.5254, 0.5772], [0.5473, 0.1918, 0.5693], [0.1257, 0.8757, 0.2500], [0.4481, 0.6403, 0.9228], [0.4610, 0.9180, 0.7488], [0.5519, 0.3597, 0.0772], [0.5000, 0.5000, 0.5000], [0.1695, 0.3399, 0.0006], [0.1608, 0.8312, 0.5006], [0.8392, 0.1688, 0.4994], [0.5000, 0.0000, 0.0000], [0.8305, 0.6601, 0.9994], [0.6668, 0.7511, 0.2512], [0.0001, 0.5845, 0.7512], [0.9999, 0.4155, 0.2488], [0.3332, 0.2489, 0.7488]]}

---

Repeat the second record exactly.
{"formula": "Tb2Ga9Pd3", "functional": "PBE-GGA", "state": "optimized geometry", "formation_energy_ev_per_atom": -0.611, "lattice_angstrom": [[-4.9065, -0.1291, -5.9332], [-1.7206, -3.7684, 6.4910], [-0.4862, 9.1972, 5.2237]], "species": ["Ga", "Ga", "Ga", "Ga", "Ga", "Ga", "Ga", "Ga", "Ga", "Ga", "Ga", "Ga", "Ga", "Ga", "Ga", "Ga", "Ga", "Ga", "Pd", "Pd", "Pd", "Pd", "Pd", "Pd", "Tb", "Tb", "Tb", "Tb"], "frac_coords": [[0.2193, 0.6933, 0.0778], [0.8845, 0.8585, 0.5778], [0.1155, 0.1415, 0.4222], [0.4527, 0.8082, 0.4307], [0.8743, 0.1243, 0.7500], [0.1225, 0.9781, 0.9307], [0.6692, 0.7122, 0.7512], [0.7824, 0.4746, 0.4228], [0.5390, 0.0820, 0.2512], [0.7807, 0.3067, 0.9222], [0.3308, 0.2878, 0.2488], [0.8775, 0.0219, 0.0693], [0.2176, 0.5254, 0.5772], [0.5473, 0.1918, 0.5693], [0.1257, 0.8757, 0.2500], [0.4481, 0.6403, 0.9228], [0.4610, 0.9180, 0.7488], [0.5519, 0.3597, 0.0772], [0.5000, 0.5000, 0.5000], [0.1695, 0.3399, 0.0006], [0.1608, 0.8312, 0.5006], [0.8392, 0.1688, 0.4994], [0.5000, 0.0000, 0.0000], [0.8305, 0.6601, 0.9994], [0.6668, 0.7511, 0.2512], [0.0001, 0.5845, 0.7512], [0.9999, 0.4155, 0.2488], [0.3332, 0.2489, 0.7488]]}